[1]
Compound: BaRe2P
Source: the Alexandria database
Functional: PBE
Structure: relaxed

abc: 6.382 6.382 2.824
angles: 102.61 102.61 126.41
Fractional coordinates of all 4 atoms:
1 Ba 0.000 0.000 0.000
2 Re 0.000 0.500 0.500
3 Re 0.500 0.000 0.500
4 P 0.500 0.500 0.000

Values from the calculation:
total energy	-27.20	eV per cell
DFT formation energy	1.26	eV/atom
mass density	11.08	Mg/m³
space group	C2/m (12)

=====

[2]
Compound: Tb12TmSc7
Source: the Alexandria database
Functional: PBE
Structure: relaxed

abc: 9.047 9.047 9.047
angles: 108.28 108.28 108.28
Fractional coordinates of all 20 atoms:
1 Tb 0.094 0.436 0.204
2 Tb 0.120 0.299 0.825
3 Tb 0.175 0.880 0.701
4 Tb 0.204 0.094 0.436
5 Tb 0.299 0.825 0.120
6 Tb 0.436 0.204 0.094
7 Tb 0.564 0.796 0.906
8 Tb 0.701 0.175 0.880
9 Tb 0.796 0.906 0.564
10 Tb 0.825 0.120 0.299
11 Tb 0.880 0.701 0.175
12 Tb 0.906 0.564 0.796
13 Tm 0.500 0.500 0.500
14 Sc 0.000 0.000 0.000
15 Sc 0.185 0.503 0.604
16 Sc 0.396 0.815 0.497
17 Sc 0.497 0.396 0.815
18 Sc 0.503 0.604 0.185
19 Sc 0.604 0.185 0.503
20 Sc 0.815 0.497 0.396

Values from the calculation:
total energy	-101.00	eV per cell
ΔE to the lowest computed polymorph	0.0	meV per atom
DFT formation energy	0.17	eV/atom
mass density	6.68	Mg/m³
space group	R-3 (148)

=====

[3]
Compound: Sr3PuNp3N8
Source: the Alexandria database
Functional: PBE
Structure: relaxed

abc: 7.222 7.222 7.222
angles: 58.25 58.25 58.25
Fractional coordinates of all 15 atoms:
1 Sr 0.000 0.500 0.500
2 Sr 0.500 0.000 0.500
3 Sr 0.500 0.500 0.000
4 Pu 0.500 0.500 0.500
5 Np 0.000 0.000 0.500
6 Np 0.000 0.500 0.000
7 Np 0.500 0.000 0.000
8 N 0.227 0.724 0.724
9 N 0.234 0.234 0.234
10 N 0.276 0.276 0.773
11 N 0.276 0.773 0.276
12 N 0.724 0.227 0.724
13 N 0.724 0.724 0.227
14 N 0.766 0.766 0.766
15 N 0.773 0.276 0.276

Values from the calculation:
total energy	-139.77	eV per cell
mass density	8.64	Mg/m³
space group	R-3m (166)
formation energy without anion corrections	-1.00	eV per atom

=====

[4]
Compound: Ca3Br
Source: the Alexandria database
Functional: PBE
Structure: relaxed

abc: 3.947 6.287 6.699
angles: 90.00 90.00 90.00
Fractional coordinates of all 4 atoms:
1 Ca 0.000 0.000 0.000
2 Ca 0.000 0.500 0.328
3 Ca 0.500 0.500 0.837
4 Br 0.500 0.000 0.674

Values from the calculation:
total energy	-9.52	eV per cell
ΔE to the lowest computed polymorph	211.6	meV per atom
mass density	2.00	Mg/m³
space group	Pmm2 (25)
formation energy without anion corrections	-0.46	eV per atom

=====

[5]
Compound: LiNdPdRh
Source: the Alexandria database
Functional: PBE
Structure: relaxed

abc: 4.725 4.725 4.725
angles: 60.00 60.00 60.00
Fractional coordinates of all 4 atoms:
1 Li 0.000 0.000 0.000
2 Nd 0.500 0.500 0.500
3 Pd 0.250 0.250 0.250
4 Rh 0.750 0.750 0.750

Values from the calculation:
total energy	-21.09	eV per cell
DFT formation energy	-0.47	eV/atom
mass density	8.03	Mg/m³
space group	F-43m (216)

=====

[6]
Compound: BaTaSn3
Source: the Alexandria database
Functional: PBE
Structure: relaxed

abc: 5.432 5.432 5.432
angles: 90.00 90.00 90.00
Fractional coordinates of all 5 atoms:
1 Ba 0.000 0.000 0.000
2 Ta 0.500 0.500 0.500
3 Sn 0.000 0.500 0.500
4 Sn 0.500 0.000 0.500
5 Sn 0.500 0.500 0.000

Values from the calculation:
total energy	-26.56	eV per cell
ΔE to the lowest computed polymorph	0.0	meV per atom
DFT formation energy	-0.15	eV/atom
mass density	6.99	Mg/m³
space group	Pm-3m (221)

=====

[7]
Compound: BaMn2Se2
Source: the Alexandria database
Functional: PBE
Structure: relaxed

abc: 6.970 6.970 6.970
angles: 146.95 146.95 47.44
Fractional coordinates of all 5 atoms:
1 Ba 0.000 0.000 0.000
2 Mn 0.250 0.750 0.500
3 Mn 0.750 0.250 0.500
4 Se 0.349 0.349 0.000
5 Se 0.651 0.651 0.000

Values from the calculation:
total energy	-29.96	eV per cell
mass density	6.70	Mg/m³
space group	I4/mmm (139)
formation energy without anion corrections	-0.55	eV per atom

=====

[8]
Compound: LaCo2Cu
Source: the Alexandria database
Functional: PBE
Structure: relaxed

abc: 5.107 5.107 3.009
angles: 105.21 105.21 113.39
Fractional coordinates of all 4 atoms:
1 La 0.000 0.000 0.000
2 Co 0.000 0.500 0.500
3 Co 0.500 0.000 0.500
4 Cu 0.500 0.500 0.000

Values from the calculation:
total energy	-21.67	eV per cell
DFT formation energy	0.39	eV/atom
mass density	8.41	Mg/m³
space group	C2/m (12)

=====

[9]
Compound: Cd2GaCu
Source: the Alexandria database
Functional: PBE
Structure: relaxed

abc: 9.517 9.517 9.517
angles: 18.51 18.51 18.51
Fractional coordinates of all 4 atoms:
1 Cd 0.000 0.000 0.000
2 Cd 0.181 0.181 0.181
3 Ga 0.757 0.757 0.757
4 Cu 0.591 0.591 0.591

Values from the calculation:
total energy	-8.50	eV per cell
DFT formation energy	0.11	eV/atom
mass density	7.83	Mg/m³
space group	R3m (160)

=====

[10]
Compound: NbSiF2
Source: the Alexandria database
Functional: PBE
Structure: relaxed

abc: 4.163 4.163 4.163
angles: 60.00 60.00 60.00
Fractional coordinates of all 4 atoms:
1 Nb 0.000 0.000 0.000
2 Si 0.500 0.500 0.500
3 F 0.250 0.250 0.250
4 F 0.750 0.750 0.750

Values from the calculation:
total energy	-21.81	eV per cell
ΔE to the lowest computed polymorph	442.0	meV per atom
mass density	5.18	Mg/m³
space group	Fm-3m (225)
formation energy without anion corrections	-0.64	eV per atom

=====

[11]
Compound: Zr4In5Ag
Source: the Alexandria database
Functional: PBE
Structure: relaxed

abc: 3.193 3.193 21.403
angles: 90.00 90.00 90.00
Fractional coordinates of all 10 atoms:
1 Zr 0.000 0.000 0.102
2 Zr 0.000 0.000 0.307
3 Zr 0.000 0.000 0.693
4 Zr 0.000 0.000 0.898
5 In 0.500 0.500 0.000
6 In 0.500 0.500 0.204
7 In 0.500 0.500 0.407
8 In 0.500 0.500 0.593
9 In 0.500 0.500 0.796
10 Ag 0.000 0.000 0.500

Values from the calculation:
total energy	-53.27	eV per cell
DFT formation energy	-0.25	eV/atom
mass density	7.97	Mg/m³
space group	P4/mmm (123)

=====

[12]
Compound: Tb3Er4Ru4
Source: the Alexandria database
Functional: PBE
Structure: relaxed

abc: 9.375 9.375 9.375
angles: 158.25 123.56 61.21
Fractional coordinates of all 11 atoms:
1 Tb 0.000 0.000 0.000
2 Tb 0.402 0.902 0.500
3 Tb 0.598 0.098 0.500
4 Er 0.025 0.335 0.690
5 Er 0.356 0.665 0.690
6 Er 0.644 0.335 0.310
7 Er 0.975 0.665 0.310
8 Ru 0.256 0.256 0.000
9 Ru 0.274 0.500 0.774
10 Ru 0.726 0.500 0.226
11 Ru 0.744 0.744 0.000

Values from the calculation:
total energy	-72.90	eV per cell
DFT formation energy	-0.33	eV/atom
mass density	10.17	Mg/m³
space group	Immm (71)

=====

Repeat the seventh record exactly.
Compound: BaMn2Se2
Source: the Alexandria database
Functional: PBE
Structure: relaxed

abc: 6.970 6.970 6.970
angles: 146.95 146.95 47.44
Fractional coordinates of all 5 atoms:
1 Ba 0.000 0.000 0.000
2 Mn 0.250 0.750 0.500
3 Mn 0.750 0.250 0.500
4 Se 0.349 0.349 0.000
5 Se 0.651 0.651 0.000

Values from the calculation:
total energy	-29.96	eV per cell
mass density	6.70	Mg/m³
space group	I4/mmm (139)
formation energy without anion corrections	-0.55	eV per atom

=====

Question: Among the records above, which one has the highest mass density?
Answer: BaRe2P